*one*
KRe2Br | PBE-GGA | optimized geometry

a b c (Å): 6.651 6.651 5.354
angles (deg): 111.27 111.27 29.19
Element x y z (fractional)
K  0.000  0.000  0.000
Re  0.216  0.216  0.596
Re  0.784  0.784  0.404
Br  0.500  0.500  0.500



*two*
KRe2Br | PBE-GGA | optimized geometry

a b c (Å): 2.802 2.802 10.105
angles (deg): 90.00 90.00 90.00
Element x y z (fractional)
K  0.000  0.000  0.000
Re  0.500  0.500  0.290
Re  0.500  0.500  0.710
Br  0.000  0.000  0.500



Result of the stability comparison: *one* is the most stable of them.



*one*
KRe2Br | PBE-GGA | optimized geometry

a b c (Å): 6.405 6.405 6.405
angles (deg): 149.11 120.47 68.57
Element x y z (fractional)
K  0.000  0.000  0.000
Re  0.370  0.870  0.500
Re  0.517  0.517  0.000
Br  0.727  0.227  0.500



*two*
KRe2Br | PBE-GGA | optimized geometry

a b c (Å): 4.699 4.699 4.699
angles (deg): 60.00 60.00 60.00
Element x y z (fractional)
K  0.000  0.000  0.000
Re  0.250  0.250  0.250
Re  0.750  0.750  0.750
Br  0.500  0.500  0.500



Result of the stability comparison: *one* is the most stable of them.



*one*
KRe2Br | PBE-GGA | optimized geometry

a b c (Å): 3.165 8.849 8.849
angles (deg): 20.92 90.00 90.00
Element x y z (fractional)
K  0.000  0.000  0.000
Re  0.000  0.766  0.766
Re  0.500  0.336  0.336
Br  0.500  0.633  0.633



*two*
KRe2Br | PBE-GGA | optimized geometry

a b c (Å): 13.140 13.140 13.140
angles (deg): 162.79 162.79 24.43
Element x y z (fractional)
K  0.000  0.000  0.000
K  0.750  0.250  0.500
Re  0.200  0.125  0.575
Re  0.375  0.800  0.925
Re  0.550  0.625  0.425
Re  0.875  0.450  0.075
Br  0.250  0.750  0.500
Br  0.500  0.500  0.000



*three*
KRe2Br | PBE-GGA | optimized geometry

a b c (Å): 2.738 4.814 7.325
angles (deg): 90.00 90.00 90.00
Element x y z (fractional)
K  0.000  0.000  0.000
Re  0.000  0.500  0.500
Re  0.500  0.000  0.500
Br  0.500  0.500  0.000



Result of the stability comparison: *one* is the most stable of them.